VASP calculation (PBE-GGA) on a relaxed structure of Th4Cu2C.

a = 5.0593 Å, b = 5.0593 Å, c = 7.8075 Å
α = 108.91°, β = 108.91°, γ = 90.00°
With the nearest neighbours (Å) after each atom.
Sites, in units of the cell vectors:
C (0.0000, 0.0000, 0.0000)  6 Th 2.52-2.53
Cu (0.6181, 0.6181, 0.2363)  5 Th 2.78-3.01
Cu (0.3819, 0.3819, 0.7637)  5 Th 2.78-3.01
Th (0.8181, 0.8181, 0.6363)  1 C 2.52, 1 Cu 2.78
Th (0.1819, 0.1819, 0.3637)  1 C 2.52, 1 Cu 2.78
Th (0.0000, 0.5000, 0.0000)  2 C 2.53
Th (0.5000, 0.0000, 0.0000)  2 C 2.53

Space group: I4/mmm (139)
Formation energy from the elements in eV per atom: -0.035